(1)
This record from the Alexandria database describes CsGa2Os after structural relaxation. The functional is GGA-PBE.

Structure (CIF):
```
data_CsGa2Os
_chemical_formula_sum 'Cs4 Ga8 Os4'
_cell_length_a 7.272
_cell_length_b 7.272
_cell_length_c 11.895
_cell_angle_alpha 90.00
_cell_angle_beta 90.00
_cell_angle_gamma 90.00
_symmetry_space_group_name_H-M 'I -4 2 d'
_symmetry_Int_Tables_number 122
_symmetry_space_group_name_Hall 'I -4 2bw'
loop_
_atom_site_label
_atom_site_type_symbol
_atom_site_fract_x
_atom_site_fract_y
_atom_site_fract_z
_atom_site_occupancy
Cs1 Cs 0.000 0.000 0.000 1
Ga1 Ga 0.001 0.750 0.625 1
Os1 Os 0.000 0.000 0.500 1
```

Output
energy of formation = 0.26 eV per atom

***

(2)
This record from the Alexandria database describes CsGaOs3 after structural relaxation. The functional is GGA-PBE.

Structure (CIF):
```
data_CsGaOs3
_chemical_formula_sum 'Cs1 Ga1 Os3'
_cell_length_a 5.040
_cell_length_b 5.040
_cell_length_c 5.040
_cell_angle_alpha 90.00
_cell_angle_beta 90.00
_cell_angle_gamma 90.00
_symmetry_space_group_name_H-M 'P m -3 m'
_symmetry_Int_Tables_number 221
_symmetry_space_group_name_Hall '-P 4 2 3'
loop_
_atom_site_label
_atom_site_type_symbol
_atom_site_fract_x
_atom_site_fract_y
_atom_site_fract_z
_atom_site_occupancy
Cs1 Cs 0.000 0.000 0.000 1
Ga1 Ga 0.500 0.500 0.500 1
Os1 Os 0.000 0.000 0.500 1
```

Output
energy of formation = 3.88 eV per atom

***

(3)
This record from the Alexandria database describes Cs2GaOs2 after structural relaxation. The functional is GGA-PBE.

Structure (CIF):
```
data_Cs2GaOs2
_chemical_formula_sum 'Cs4 Ga2 Os4'
_cell_length_a 3.545
_cell_length_b 3.545
_cell_length_c 25.039
_cell_angle_alpha 90.00
_cell_angle_beta 90.00
_cell_angle_gamma 90.00
_symmetry_space_group_name_H-M 'I 4/m m m'
_symmetry_Int_Tables_number 139
_symmetry_space_group_name_Hall '-I 4 2'
loop_
_atom_site_label
_atom_site_type_symbol
_atom_site_fract_x
_atom_site_fract_y
_atom_site_fract_z
_atom_site_occupancy
Cs1 Cs 0.000 0.000 0.121 1
Ga1 Ga 0.000 0.000 0.500 1
Os1 Os 0.000 0.500 0.250 1
```

Output
energy of formation = 0.92 eV per atom